No. 1
Material: Rb2SbMoI6
Method: DFT, GGA-PBE
State: optimized geometry

Cell lengths 8.5693, 8.5693, 12.0288 Å; angles 90.00, 90.00, 90.00 degrees
Space group I4/mmm (No. 139)
Symmetry-distinct sites (fractional):
Rb (0.0000, 0.5000, 0.2500) x4
Sb (0.0000, 0.0000, 0.0000) x2
Mo (0.0000, 0.0000, 0.5000) x2
I (0.0000, 0.0000, 0.2598) x4
I (0.2384, 0.2384, 0.5000) x8

Values from the calculation:
Calculated volume: 44.166 Å³ per atom
ΔE_f (raw): -0.52 eV per atom
Density of states at the Fermi level: 0.207 states/eV/atom

=====

No. 2
Material: Rb2ScMoI6
Method: DFT, GGA-PBE
State: optimized geometry

Cell lengths 8.3918, 8.3918, 11.8932 Å; angles 90.00, 90.00, 90.00 degrees
Space group I4/mmm (No. 139)
Symmetry-distinct sites (fractional):
Rb (0.0000, 0.5000, 0.2500) x4
Sc (0.0000, 0.0000, 0.0000) x2
Mo (0.0000, 0.0000, 0.5000) x2
I (0.0000, 0.0000, 0.2463) x4
I (0.2468, 0.2468, 0.0000) x8

Values from the calculation:
Calculated volume: 41.878 Å³ per atom
ΔE_f (raw): -0.79 eV per atom
Density of states at the Fermi level: 0.004 states/eV/atom

=====

No. 3
Material: Rb2SiMoI6
Method: DFT, GGA-PBE
State: optimized geometry

Cell lengths 8.2615, 8.2615, 11.7167 Å; angles 90.00, 90.00, 90.00 degrees
Space group I4/mmm (No. 139)
Symmetry-distinct sites (fractional):
Rb (0.0000, 0.5000, 0.2500) x4
Si (0.0000, 0.0000, 0.0000) x2
Mo (0.0000, 0.0000, 0.5000) x2
I (0.0000, 0.0000, 0.2526) x4
I (0.2472, 0.2472, 0.5000) x8

Values from the calculation:
Calculated volume: 39.984 Å³ per atom
ΔE_f (raw): -0.50 eV per atom
Density of states at the Fermi level: 0.204 states/eV/atom

=====

No. 4
Material: RbSn2MoI
Method: DFT, GGA-PBE
State: optimized geometry

Cell lengths 6.2749, 6.2749, 6.2738 Å; angles 90.00, 90.00, 90.00 degrees
Space group P4/mmm (No. 123)
Symmetry-distinct sites (fractional):
Rb (0.0000, 0.0000, 0.0000) x1
Sn (0.0000, 0.5000, 0.0000) x2
Mo (0.5000, 0.5000, 0.5000) x1
I (0.0000, 0.0000, 0.5000) x1

Values from the calculation:
Calculated volume: 49.406 Å³ per atom
ΔE_f (raw): 1.71 eV per atom
Density of states at the Fermi level: 0.927 states/eV/atom

=====

No. 5
Material: Rb2TaMoI6
Method: DFT, GGA-PBE
State: optimized geometry

Cell lengths 8.3045, 8.3045, 11.7985 Å; angles 90.00, 90.00, 90.00 degrees
Space group I4/mmm (No. 139)
Symmetry-distinct sites (fractional):
Rb (0.0000, 0.5000, 0.2500) x4
Ta (0.0000, 0.0000, 0.0000) x2
Mo (0.0000, 0.0000, 0.5000) x2
I (0.0000, 0.0000, 0.2447) x4
I (0.2460, 0.2460, 0.0000) x8

Values from the calculation:
Calculated volume: 40.684 Å³ per atom
ΔE_f (raw): -0.35 eV per atom
Density of states at the Fermi level: 1.440 states/eV/atom

=====

No. 6
Material: Rb2TcMoI6
Method: DFT, GGA-PBE
State: optimized geometry

Cell lengths 8.2087, 8.2087, 11.5816 Å; angles 90.00, 90.00, 90.00 degrees
Space group I4/mmm (No. 139)
Symmetry-distinct sites (fractional):
Rb (0.0000, 0.5000, 0.2500) x4
Tc (0.0000, 0.0000, 0.0000) x2
Mo (0.0000, 0.0000, 0.5000) x2
I (0.0000, 0.0000, 0.2513) x4
I (0.2482, 0.2482, 0.5000) x8

Values from the calculation:
Calculated volume: 39.020 Å³ per atom
ΔE_f (raw): -0.36 eV per atom
Density of states at the Fermi level: 0.591 states/eV/atom

=====

No. 7
Material: RbTeMoI2
Method: DFT, GGA-PBE
State: optimized geometry

Cell lengths 6.6595, 6.6595, 6.5663 Å; angles 90.00, 90.00, 90.00 degrees
Space group P4/mmm (No. 123)
Symmetry-distinct sites (fractional):
Rb (0.0000, 0.0000, 0.0000) x1
Te (0.0000, 0.0000, 0.5000) x1
Mo (0.5000, 0.5000, 0.5000) x1
I (0.0000, 0.5000, 0.0000) x2

Values from the calculation:
Calculated volume: 58.241 Å³ per atom
Energy above the most stable polymorph in this dataset: 1368 meV per atom
ΔE_f (raw): 1.08 eV per atom
Density of states at the Fermi level: 1.051 states/eV/atom

=====

No. 8
Material: RbTeMoI2
Method: DFT, GGA-PBE
State: optimized geometry

Cell lengths 5.9482, 5.9482, 5.3354 Å; angles 90.00, 90.00, 90.00 degrees
Space group P4/mmm (No. 123)
Symmetry-distinct sites (fractional):
Rb (0.0000, 0.0000, 0.0000) x1
Te (0.5000, 0.5000, 0.0000) x1
Mo (0.5000, 0.5000, 0.5000) x1
I (0.0000, 0.5000, 0.5000) x2

Values from the calculation:
Calculated volume: 37.754 Å³ per atom
Energy above the most stable polymorph in this dataset: 0 meV per atom
ΔE_f (raw): -0.29 eV per atom
Density of states at the Fermi level: 0.495 states/eV/atom

=====

No. 9
Material: Rb2TlMoI6
Method: DFT, GGA-PBE
State: optimized geometry

Cell lengths 12.2883, 12.2883, 12.2883 Å; angles 90.00, 90.00, 90.00 degrees
Space group Fm-3m (No. 225)
Symmetry-distinct sites (fractional):
Rb (0.2500, 0.2500, 0.2500) x8
Tl (0.0000, 0.0000, 0.0000) x4
Mo (0.0000, 0.0000, 0.5000) x4
I (0.0000, 0.0000, 0.2707) x24

Values from the calculation:
Calculated volume: 46.390 Å³ per atom
Energy above the most stable polymorph in this dataset: 8 meV per atom
ΔE_f (raw): -0.75 eV per atom
Density of states at the Fermi level: 0.000 states/eV/atom

=====

No. 10
Material: Rb2TlMoI6
Method: DFT, GGA-PBE
State: optimized geometry

Cell lengths 8.3220, 12.3070, 9.3232 Å; angles 90.00, 90.00, 90.00 degrees
Space group Pmmn (No. 59, origin choice 2)
Symmetry-distinct sites (fractional):
Rb (0.2500, 0.0391, 0.1910) x4
Tl (0.2500, 0.2500, 0.6997) x2
Mo (0.2500, 0.7500, 0.7922) x2
I (0.0058, 0.7500, 0.5827) x4
I (0.0148, 0.7500, 0.0119) x4
I (0.2500, 0.5204, 0.7923) x4

Values from the calculation:
Calculated volume: 47.744 Å³ per atom
Energy above the most stable polymorph in this dataset: 0 meV per atom
ΔE_f (raw): -0.76 eV per atom

=====

No. 11
Material: RbTlMoI6
Method: DFT, GGA-PBE
State: optimized geometry

Cell lengths 8.1060, 8.1060, 7.6785 Å; angles 90.00, 90.00, 120.00 degrees
Space group P312 (No. 149)
Symmetry-distinct sites (fractional):
Rb (0.0000, 0.0000, 0.0000) x1
Tl (0.3333, 0.6667, 0.5000) x1
Mo (0.6667, 0.3333, 0.5000) x1
I (0.3900, 0.0499, 0.7105) x6

Values from the calculation:
Calculated volume: 48.551 Å³ per atom
ΔE_f (raw): -0.54 eV per atom
Density of states at the Fermi level: 0.297 states/eV/atom

=====

No. 12
Material: RbTl2MoI8
Method: DFT, GGA-PBE
State: optimized geometry

Cell lengths 7.2357, 10.0088, 7.9593 Å; angles 90.00, 110.56, 90.00 degrees
Space group P2/m (No. 10)
Symmetry-distinct sites (fractional):
Rb (0.0000, 0.0000, 0.0000) x1
Tl (0.0000, 0.2434, 0.5000) x2
Mo (0.0000, 0.5000, 0.0000) x1
I (0.2353, 0.5000, 0.7938) x2
I (0.2403, 0.3070, 0.2234) x4
I (0.2909, 0.0000, 0.7012) x2

Values from the calculation:
Calculated volume: 44.976 Å³ per atom
ΔE_f (raw): -0.50 eV per atom
Density of states at the Fermi level: 0.531 states/eV/atom

=====

Per-record magnetization, μB per atom: 0.500 0.500 0.400 0.786 0.700 0.729 0.593 0.564 0.300 0.300 0.222 0.099